The following is a DFT calculation (PBE) of a relaxed Na2SeS8 crystal.

abc: 9.356 5.331 10.493
angles: 130.42 102.31 105.43
Positions (direct):
Na1 0.474 0.011 0.658
Na2 0.859 0.565 0.572
Se1 0.660 0.917 0.927
S1 0.577 0.042 0.146
S2 0.197 0.338 0.623
S3 0.268 0.080 0.417
S4 0.065 0.657 0.121
S5 0.723 0.976 0.549
S6 0.527 0.467 0.259
S7 0.206 0.813 0.707
S8 0.943 0.132 0.020

Uncorrected formation energy, meV per atom: -269

***

The following is a DFT calculation (PBE) of a relaxed Th2HgPb3 crystal.

abc: 5.888 6.444 6.727
angles: 118.62 115.95 90.00
Positions (direct):
Th1 0.686 0.186 0.371
Th2 0.314 0.814 0.629
Hg1 0.000 0.500 0.000
Pb1 0.330 0.330 0.660
Pb2 0.000 0.000 0.000
Pb3 0.670 0.670 0.340

Energy relative to the elements, meV per atom: 16
Offset from the most stable computed form, meV per atom: 137

***

The following is a DFT calculation (PBE) of a relaxed LuInSn crystal.

abc: 3.320 5.169 5.169
angles: 120.00 90.00 90.00
Positions (direct):
Lu1 0.666 0.667 0.333
Sn1 0.157 0.000 0.000
In1 0.176 0.333 0.667

Energy relative to the elements, meV per atom: -285
Offset from the most stable computed form, meV per atom: 0

***

The following is a DFT calculation (PBE) of a relaxed ZnTe2Rh crystal.

abc: 5.998 5.998 7.505
angles: 66.45 66.45 90.00
Positions (direct):
Zn1 0.500 0.500 0.000
Zn2 0.250 0.750 0.500
Te1 0.643 0.125 0.250
Te2 0.107 0.625 0.250
Te3 0.375 0.357 0.750
Te4 0.875 0.893 0.750
Rh1 0.000 0.000 0.000
Rh2 0.750 0.250 0.500

Uncorrected formation energy, meV per atom: -163

***

The following is a DFT calculation (PBE) of a relaxed ZnSi5 crystal.

abc: 4.670 4.670 4.700
angles: 90.00 90.00 120.00
Positions (direct):
Zn1 0.000 0.000 0.500
Si1 0.666 0.000 0.000
Si2 0.334 0.334 0.000
Si3 0.000 0.666 0.000
Si4 0.667 0.333 0.500
Si5 0.333 0.667 0.500

Uncorrected formation energy, meV per atom: 463
Offset from the most stable computed form, meV per atom: 124

***

The following is a DFT calculation (PBE) of a relaxed VMoPRh2 crystal.

abc: 4.443 4.560 4.443
angles: 90.00 90.00 90.00
Positions (direct):
P1 0.500 0.500 0.500
Mo1 0.000 0.500 0.000
Rh1 0.000 0.000 0.500
Rh2 0.500 0.000 0.000
V1 0.000 0.000 0.000

Energy relative to the elements, meV per atom: 1170